Record 1
Crystalline BaZn2Tc at its relaxed geometry. Source: Alexandria via LeMat-Bulk, functional GGA-PBE.

The structure in CIF format:
```
data_BaZn2Tc
_cell_length_a 4.4275
_cell_length_b 4.4275
_cell_length_c 17.4728
_cell_angle_alpha 90.00
_cell_angle_beta 90.00
_cell_angle_gamma 120.00
_symmetry_space_group_name_H-M 'R -3 m'
_symmetry_Int_Tables_number 166
_symmetry_space_group_name_Hall '-R 3 2"'
loop_
_atom_site_label
_atom_site_type_symbol
_atom_site_fract_x
_atom_site_fract_y
_atom_site_fract_z
Ba1 Ba 0.0000 0.0000 0.0000
Zn1 Zn 0.0000 0.0000 0.1931
Tc1 Tc 0.0000 0.0000 0.5000
```

## Properties
Electronic total energy ... -3.4829 eV per atom
Energy relative to the elements ... 0.2263 eV/atom
Energy above the lowest structure with this stoichiometry ... 0.0076 eV per atom



Record 2
Crystalline BaZnTc2 at its relaxed geometry. Source: Alexandria via LeMat-Bulk, functional GGA-PBE.

The structure in CIF format:
```
data_BaZnTc2
_cell_length_a 4.4381
_cell_length_b 4.4381
_cell_length_c 19.0735
_cell_angle_alpha 90.00
_cell_angle_beta 90.00
_cell_angle_gamma 90.00
_symmetry_space_group_name_H-M 'I -4 2 d'
_symmetry_Int_Tables_number 122
_symmetry_space_group_name_Hall 'I -4 2bw'
loop_
_atom_site_label
_atom_site_type_symbol
_atom_site_fract_x
_atom_site_fract_y
_atom_site_fract_z
Ba1 Ba 0.0000 0.0000 0.0000
Zn1 Zn 0.0000 0.0000 0.5000
Tc1 Tc 0.1172 0.7500 0.6250
```

## Properties
Electronic total energy ... -5.1752 eV per atom
Energy relative to the elements ... 0.8070 eV/atom



Record 3
Crystalline BaZnTc2 at its relaxed geometry. Source: Alexandria via LeMat-Bulk, functional GGA-PBE.

The structure in CIF format:
```
data_BaZnTc2
_cell_length_a 4.8168
_cell_length_b 4.8168
_cell_length_c 6.8446
_cell_angle_alpha 90.00
_cell_angle_beta 90.00
_cell_angle_gamma 90.00
_symmetry_space_group_name_H-M 'I -4 m 2'
_symmetry_Int_Tables_number 119
_symmetry_space_group_name_Hall 'I -4 -2'
loop_
_atom_site_label
_atom_site_type_symbol
_atom_site_fract_x
_atom_site_fract_y
_atom_site_fract_z
Ba1 Ba 0.0000 0.0000 0.0000
Zn1 Zn 0.0000 0.5000 0.2500
Tc1 Tc 0.0000 0.0000 0.5000
Tc2 Tc 0.0000 0.5000 0.7500
```

## Properties
Electronic total energy ... -4.9881 eV per atom
Energy relative to the elements ... 0.9941 eV/atom



Record 4
Crystalline BaZnTc at its relaxed geometry. Source: Alexandria via LeMat-Bulk, functional GGA-PBE.

The structure in CIF format:
```
data_BaZnTc
_cell_length_a 3.5702
_cell_length_b 3.5702
_cell_length_c 11.3939
_cell_angle_alpha 90.00
_cell_angle_beta 90.00
_cell_angle_gamma 90.00
_symmetry_space_group_name_H-M 'I 4 m m'
_symmetry_Int_Tables_number 107
_symmetry_space_group_name_Hall 'I 4 -2'
loop_
_atom_site_label
_atom_site_type_symbol
_atom_site_fract_x
_atom_site_fract_y
_atom_site_fract_z
Ba1 Ba 0.0000 0.0000 0.0000
Zn1 Zn 0.0000 0.0000 0.2737
Tc1 Tc 0.0000 0.0000 0.7186
```

## Properties
Electronic total energy ... -4.0064 eV per atom
Energy relative to the elements ... 0.5145 eV/atom
Energy above the lowest structure with this stoichiometry ... 0.0000 eV per atom



Record 5
Crystalline BaZn2Tc at its relaxed geometry. Source: Alexandria via LeMat-Bulk, functional GGA-PBE.

The structure in CIF format:
```
data_BaZn2Tc
_cell_length_a 3.4186
_cell_length_b 5.4792
_cell_length_c 10.0132
_cell_angle_alpha 90.00
_cell_angle_beta 90.00
_cell_angle_gamma 90.00
_symmetry_space_group_name_H-M 'I m m m'
_symmetry_Int_Tables_number 71
_symmetry_space_group_name_Hall '-I 2 2'
loop_
_atom_site_label
_atom_site_type_symbol
_atom_site_fract_x
_atom_site_fract_y
_atom_site_fract_z
Ba1 Ba 0.0000 0.0000 0.0000
Zn1 Zn 0.0000 0.5000 0.1971
Tc1 Tc 0.0000 0.0000 0.5000
```

## Properties
Electronic total energy ... -3.2013 eV per atom
Energy relative to the elements ... 0.5079 eV/atom
Energy above the lowest structure with this stoichiometry ... 0.2893 eV per atom



Record 6
Crystalline BaZnTc at its relaxed geometry. Source: Alexandria via LeMat-Bulk, functional GGA-PBE.

The structure in CIF format:
```
data_BaZnTc
_cell_length_a 4.4375
_cell_length_b 4.4375
_cell_length_c 4.8764
_cell_angle_alpha 90.00
_cell_angle_beta 90.00
_cell_angle_gamma 120.00
_symmetry_space_group_name_H-M 'P -6 m 2'
_symmetry_Int_Tables_number 187
_symmetry_space_group_name_Hall 'P -6 2'
loop_
_atom_site_label
_atom_site_type_symbol
_atom_site_fract_x
_atom_site_fract_y
_atom_site_fract_z
Ba1 Ba 0.0000 0.0000 0.0000
Zn1 Zn 0.3333 0.6667 0.5000
Tc1 Tc 0.6667 0.3333 0.5000
```

## Properties
Electronic total energy ... -3.9174 eV per atom
Energy relative to the elements ... 0.6035 eV/atom
Energy above the lowest structure with this stoichiometry ... 0.0890 eV per atom



Record 7
Crystalline BaZnTc2 at its relaxed geometry. Source: Alexandria via LeMat-Bulk, functional GGA-PBE.

The structure in CIF format:
```
data_BaZnTc2
_cell_length_a 4.3085
_cell_length_b 4.3085
_cell_length_c 18.5241
_cell_angle_alpha 90.00
_cell_angle_beta 90.00
_cell_angle_gamma 120.00
_symmetry_space_group_name_H-M 'R 3 m'
_symmetry_Int_Tables_number 160
_symmetry_space_group_name_Hall 'R 3 -2"'
loop_
_atom_site_label
_atom_site_type_symbol
_atom_site_fract_x
_atom_site_fract_y
_atom_site_fract_z
Ba1 Ba 0.0000 0.0000 0.0000
Zn1 Zn 0.0000 0.0000 0.8047
Tc1 Tc 0.0000 0.0000 0.1944
Tc2 Tc 0.0000 0.0000 0.5181
```

## Properties
Electronic total energy ... -5.7964 eV per atom
Energy relative to the elements ... 0.1858 eV/atom



Record 8
Crystalline BaZn2Tc at its relaxed geometry. Source: Alexandria via LeMat-Bulk, functional GGA-PBE.

The structure in CIF format:
```
data_BaZn2Tc
_cell_length_a 7.0187
_cell_length_b 7.0187
_cell_length_c 7.0187
_cell_angle_alpha 90.00
_cell_angle_beta 90.00
_cell_angle_gamma 90.00
_symmetry_space_group_name_H-M 'F -4 3 m'
_symmetry_Int_Tables_number 216
_symmetry_space_group_name_Hall 'F -4 2 3'
loop_
_atom_site_label
_atom_site_type_symbol
_atom_site_fract_x
_atom_site_fract_y
_atom_site_fract_z
Ba1 Ba 0.0000 0.0000 0.0000
Zn1 Zn 0.0000 0.0000 0.5000
Zn2 Zn 0.2500 0.2500 0.2500
Tc1 Tc 0.2500 0.2500 0.7500
```

## Properties
Electronic total energy ... -2.9100 eV per atom
Energy relative to the elements ... 0.7992 eV/atom
Energy above the lowest structure with this stoichiometry ... 0.5805 eV per atom



Record 9
Crystalline BaZnTc2 at its relaxed geometry. Source: Alexandria via LeMat-Bulk, functional GGA-PBE.

The structure in CIF format:
```
data_BaZnTc2
_cell_length_a 2.9937
_cell_length_b 2.9937
_cell_length_c 30.2861
_cell_angle_alpha 90.00
_cell_angle_beta 90.00
_cell_angle_gamma 120.00
_symmetry_space_group_name_H-M 'R 3 m'
_symmetry_Int_Tables_number 160
_symmetry_space_group_name_Hall 'R 3 -2"'
loop_
_atom_site_label
_atom_site_type_symbol
_atom_site_fract_x
_atom_site_fract_y
_atom_site_fract_z
Ba1 Ba 0.0000 0.0000 0.0000
Zn1 Zn 0.0000 0.0000 0.2329
Tc1 Tc 0.0000 0.0000 0.4959
Tc2 Tc 0.0000 0.0000 0.7643
```

## Properties
Electronic total energy ... -5.2687 eV per atom
Energy relative to the elements ... 0.7135 eV/atom



Record 10
Crystalline BaZn2Tc at its relaxed geometry. Source: Alexandria via LeMat-Bulk, functional GGA-PBE.

The structure in CIF format:
```
data_BaZn2Tc
_cell_length_a 3.2167
_cell_length_b 5.4163
_cell_length_c 9.9561
_cell_angle_alpha 90.00
_cell_angle_beta 90.00
_cell_angle_gamma 90.00
_symmetry_space_group_name_H-M 'I m m 2'
_symmetry_Int_Tables_number 44
loop_
_symmetry_equiv_pos_as_xyz
'x,y,z'
'-x,-y,z'
'-x,y,z'
'x,-y,z'
'x+1/2,y+1/2,z+1/2'
'-x+1/2,-y+1/2,z+1/2'
'-x+1/2,y+1/2,z+1/2'
'x+1/2,-y+1/2,z+1/2'
loop_
_atom_site_label
_atom_site_type_symbol
_atom_site_fract_x
_atom_site_fract_y
_atom_site_fract_z
Ba1 Ba 0.0000 0.0000 0.0000
Zn1 Zn 0.0000 0.0000 0.4847
Zn2 Zn 0.0000 0.5000 0.2098
Tc1 Tc 0.0000 0.5000 0.7786
```

## Properties
Electronic total energy ... -3.1026 eV per atom
Energy relative to the elements ... 0.6065 eV/atom
Energy above the lowest structure with this stoichiometry ... 0.3879 eV per atom



Record 11
Crystalline BaZn2Tc at its relaxed geometry. Source: Alexandria via LeMat-Bulk, functional GGA-PBE.

The structure in CIF format:
```
data_BaZn2Tc
_cell_length_a 3.5265
_cell_length_b 3.5265
_cell_length_c 7.4234
_cell_angle_alpha 90.00
_cell_angle_beta 90.00
_cell_angle_gamma 90.00
_symmetry_space_group_name_H-M 'P 4 m m'
_symmetry_Int_Tables_number 99
loop_
_symmetry_equiv_pos_as_xyz
'x,y,z'
'-y,x,z'
'-x,-y,z'
'y,-x,z'
'-x,y,z'
'y,x,z'
'x,-y,z'
'-y,-x,z'
loop_
_atom_site_label
_atom_site_type_symbol
_atom_site_fract_x
_atom_site_fract_y
_atom_site_fract_z
Ba1 Ba 0.0000 0.0000 0.0000
Zn1 Zn 0.0000 0.0000 0.4317
Zn2 Zn 0.5000 0.5000 0.6630
Tc1 Tc 0.5000 0.5000 0.3272
```

## Properties
Electronic total energy ... -3.3177 eV per atom
Energy relative to the elements ... 0.3915 eV/atom
Energy above the lowest structure with this stoichiometry ... 0.1729 eV per atom



Record 12
Crystalline BaZn2Tc at its relaxed geometry. Source: Alexandria via LeMat-Bulk, functional GGA-PBE.

The structure in CIF format:
```
data_BaZn2Tc
_cell_length_a 4.9119
_cell_length_b 4.9119
_cell_length_c 18.0386
_cell_angle_alpha 90.00
_cell_angle_beta 90.00
_cell_angle_gamma 90.00
_symmetry_space_group_name_H-M 'I 41/a m d'
_symmetry_Int_Tables_number 141
loop_
_symmetry_equiv_pos_as_xyz
'x,y,z'
'-x,-y,-z'
'-y+1/4,x+3/4,z+1/4'
'y+1/4,-x+3/4,-z+1/4'
'-x+1/2,-y,z+1/2'
'x+1/2,y,-z+1/2'
'y+1/4,-x+1/4,z+3/4'
'-y+1/4,x+1/4,-z+3/4'
'x,-y,-z'
'-x,y,z'
'-y+1/4,-x+1/4,-z+3/4'
'y+1/4,x+1/4,z+3/4'
'-x+1/2,y,-z+1/2'
'x+1/2,-y,z+1/2'
'y+1/4,x+3/4,-z+1/4'
'-y+1/4,-x+3/4,z+1/4'
'x+1/2,y+1/2,z+1/2'
'-x+1/2,-y+1/2,-z+1/2'
'-y+3/4,x+1/4,z+3/4'
'y+3/4,-x+1/4,-z+3/4'
'-x,-y+1/2,z'
'x,y+1/2,-z'
'y+3/4,-x+3/4,z+1/4'
'-y+3/4,x+3/4,-z+1/4'
'x+1/2,-y+1/2,-z+1/2'
'-x+1/2,y+1/2,z+1/2'
'-y+3/4,-x+3/4,-z+1/4'
'y+3/4,x+3/4,z+1/4'
'-x,y+1/2,-z'
'x,-y+1/2,z'
'y+3/4,x+1/4,-z+3/4'
'-y+3/4,-x+1/4,z+3/4'
loop_
_atom_site_label
_atom_site_type_symbol
_atom_site_fract_x
_atom_site_fract_y
_atom_site_fract_z
Ba1 Ba 0.0000 0.2500 0.3750
Zn1 Zn 0.0000 0.0000 0.0000
Tc1 Tc 0.0000 0.2500 0.8750
```

## Properties
Electronic total energy ... -3.2520 eV per atom
Energy relative to the elements ... 0.4572 eV/atom
Energy above the lowest structure with this stoichiometry ... 0.2385 eV per atom